Record 1
Here is an optimized crystal structure of EuErInGe from Alexandria via LeMat-Bulk. Energies are from PBE.

Cell lengths 5.2733, 5.2733, 5.2733 Å; angles 60.00, 60.00, 60.00 degrees
Site moments in Bohr magnetons follow the coordinates.
Fractional positions:
Eu: 0.0000 0.0000 0.0000  6.79
Ge: 0.2500 0.2500 0.2500  -0.03
In: 0.7500 0.7500 0.7500  0.00
Er: 0.5000 0.5000 0.5000  0.07

Energy of formation from the pure elements in meV/atom: -450

---

Record 2
Here is an optimized crystal structure of LiEuErGe from Alexandria via LeMat-Bulk. Energies are from PBE.

Cell lengths 5.1329, 5.1329, 5.1329 Å; angles 60.00, 60.00, 60.00 degrees
Site moments in Bohr magnetons follow the coordinates.
Fractional positions:
Eu: 0.0000 0.0000 0.0000  6.87
Ge: 0.7500 0.7500 0.7500  -0.04
Li: 0.2500 0.2500 0.2500  0.03
Er: 0.5000 0.5000 0.5000  0.19

Energy of formation from the pure elements in meV/atom: -361

---

Record 3
Here is an optimized crystal structure of EuErTlGe from Alexandria via LeMat-Bulk. Energies are from PBE.

Cell lengths 5.3017, 5.3017, 5.3017 Å; angles 60.00, 60.00, 60.00 degrees
Site moments in Bohr magnetons follow the coordinates.
Fractional positions:
Eu: 0.2500 0.2500 0.2500  6.81
Tl: 0.5000 0.5000 0.5000  0.00
Ge: 0.0000 0.0000 0.0000  -0.03
Er: 0.7500 0.7500 0.7500  0.10

Energy of formation from the pure elements in meV/atom: -414

---

Record 4
Here is an optimized crystal structure of EuErZnGe from Alexandria via LeMat-Bulk. Energies are from PBE.

Cell lengths 5.1071, 5.1071, 5.1071 Å; angles 60.00, 60.00, 60.00 degrees
Site moments in Bohr magnetons follow the coordinates.
Fractional positions:
Eu: 0.0000 0.0000 0.0000  6.82
Ge: 0.2500 0.2500 0.2500  -0.04
Zn: 0.7500 0.7500 0.7500  0.03
Er: 0.5000 0.5000 0.5000  0.19

Energy of formation from the pure elements in meV/atom: -468

---

Record 5
Here is an optimized crystal structure of Eu2ErH from Alexandria via LeMat-Bulk. Energies are from PBE.

Cell lengths 3.6785, 3.6785, 9.3749 Å; angles 78.69, 78.69, 60.00 degrees
Site moments in Bohr magnetons follow the coordinates.
Fractional positions:
Eu: 0.7216 0.7216 0.8351  7.01
Eu: 0.2784 0.2784 0.1649  7.01
H: 0.0000 0.0000 0.0000  -0.02
Er: 0.5000 0.5000 0.5000  0.04

---

Record 6
Here is an optimized crystal structure of EuErH2 from Alexandria via LeMat-Bulk. Energies are from PBE.

Cell lengths 3.5448, 3.5448, 6.2098 Å; angles 73.42, 73.42, 60.00 degrees
Site moments in Bohr magnetons follow the coordinates.
Fractional positions:
Eu: 0.5000 0.5000 0.5000  6.92
H: 0.7307 0.7307 0.8080  -0.01
H: 0.2693 0.2693 0.1920  -0.01
Er: 0.0000 0.0000 0.0000  0.03

---

Number 1: final energy -5.998 eV per atom. Number 2: final energy -5.703 eV per atom. Number 3: final energy -5.869 eV per atom. Number 4: final energy -5.651 eV per atom. Number 5: final energy -7.241 eV per atom. Number 6: final energy -5.717 eV per atom.